BaP2S2 | PBE | relaxed Values from VASP.

For the density of states at the Fermi level, the calculation gives 4.555 states/eV/cell. For the energy relative to the lowest polymorph listed for this composition, the calculation gives 0.045 eV per atom. The uncorrected formation energy is -2.18 eV per formula unit. The total energy is -23.178 eV/cell. The space-group type is P4/mmm, No. 123.

Geometry as Quantum ESPRESSO input:
```
&SYSTEM
  ibrav = 0, nat = 5, ntyp = 3
/
ATOMIC_SPECIES
P 30.97 P.upf
S 32.06 S.upf
Ba 137.33 Ba.upf
CELL_PARAMETERS angstrom
4.9132 0.0000 0.0000
0.0000 4.9132 0.0000
0.0000 0.0000 4.5708
ATOMIC_POSITIONS angstrom
P 0.0000 0.0000 2.2854
S 0.0000 2.4566 0.0000
P 0.0000 0.0000 0.0000
S 2.4566 0.0000 0.0000
Ba 2.4566 2.4566 2.2854
```